Record 1
Material: BaAgClO
Method: DFT, PBE
State: optimized geometry

abc: 4.8346 4.8346 8.6436
angles: 90.00 90.00 90.00
Last column: nearest neighbours and their distance in Å.
Fractional coordinates of all 8 atoms:
Ba 0.2500 0.2500 0.2214  1 O 2.52
Ba 0.7500 0.7500 0.7786  1 O 2.52
Ag 0.2500 0.7500 0.5000  4 O 2.42
Ag 0.7500 0.2500 0.5000  4 O 2.42
Cl 0.2500 0.7500 0.0000  4 Ba 3.08, 4 Cl 3.42
Cl 0.7500 0.2500 0.0000  4 Ba 3.08, 4 Cl 3.42
O 0.2500 0.2500 0.5125  4 Ag 2.42, 1 Ba 2.52
O 0.7500 0.7500 0.4875  4 Ag 2.42, 1 Ba 2.52

Output
The value obtained for the volume is 202.0 Å³/cell. Its raw total energy is -4.19 eV/atom.


Record 2
Material: BaAgSCl
Method: DFT, PBE
State: optimized geometry

abc: 4.5985 4.5985 9.7414
angles: 90.00 90.00 90.00
Last column: nearest neighbours and their distance in Å.
Fractional coordinates of all 8 atoms:
Ba 0.2500 0.2500 0.2075  4 Cl 3.06
Ba 0.7500 0.7500 0.7925  4 Cl 3.06
Ag 0.2500 0.7500 0.5000  4 S 2.72
Ag 0.7500 0.2500 0.5000  4 S 2.72
S 0.2500 0.2500 0.6491  4 Ag 2.72
S 0.7500 0.7500 0.3509  4 Ag 2.72
Cl 0.2500 0.7500 0.0000  4 Ba 3.06, 4 Cl 3.25
Cl 0.7500 0.2500 0.0000  4 Ba 3.06, 4 Cl 3.25

Output
The value obtained for the volume is 206.0 Å³/cell. Its raw total energy is -4.08 eV/atom.


Record 3
Material: BaAgSeCl
Method: DFT, PBE
State: optimized geometry

abc: 4.7022 4.7022 9.8839
angles: 90.00 90.00 90.00
Last column: nearest neighbours and their distance in Å.
Fractional coordinates of all 8 atoms:
Ba 0.2500 0.2500 0.2023  4 Cl 3.09
Ba 0.7500 0.7500 0.7977  4 Cl 3.09
Ag 0.2500 0.7500 0.5000  4 Se 2.82
Ag 0.7500 0.2500 0.5000  4 Se 2.82
Se 0.2500 0.2500 0.6575  4 Ag 2.82
Se 0.7500 0.7500 0.3425  4 Ag 2.82
Cl 0.2500 0.7500 0.0000  4 Ba 3.09, 4 Cl 3.32
Cl 0.7500 0.2500 0.0000  4 Ba 3.09, 4 Cl 3.32

Output
The value obtained for the volume is 218.5 Å³/cell. Its raw total energy is -3.98 eV/atom.